Version i
Computed, not measured: an optimized crystal structure of HoZn3Ga2 at the GGA-PBE level of DFT.

The space group is C2/m (No. 12) and the conventional cell measures 15.2445, 4.2043 and 7.5306 Å, with angles of 90.00, 116.49 and 90.00 degrees. The inequivalent atoms are Ho at (0.1428, 0.0000, 0.0734), Zn at (0.0369, 0.0000, 0.3747), Zn at (0.1156, 0.5000, 0.7299), Zn at (0.1889, 0.5000, 0.4645), Ga at (0.0200, 0.5000, 0.1742) and Ga at (0.2044, 0.0000, 0.7218).

Its magnetization is 0.00 μB/f.u.



Version ii
Computed, not measured: an optimized crystal structure of HoZn3Ga2 at the GGA-PBE level of DFT.

The space group is C2/m (No. 12) and the conventional cell measures 15.3362, 4.3405 and 7.5430 Å, with angles of 90.00, 119.43 and 90.00 degrees. The inequivalent atoms are Ho at (0.1333, 0.0000, 0.1329), Zn at (0.0002, 0.0000, 0.3381), Zn at (0.1755, 0.5000, 0.4685), Zn at (0.1752, 0.5000, 0.8818), Ga at (0.0001, 0.5000, 0.1642) and Ga at (0.1865, 0.0000, 0.6866).

Its magnetization is 0.00 μB/f.u.



Name the least stable of them. version ii.



Version i
Computed, not measured: an optimized crystal structure of Ho6ZnGa2 at the GGA-PBE level of DFT.

The space group is Immm (No. 71) and the conventional cell measures 4.9160, 6.9742 and 14.8112 Å, with angles of 90.00, 90.00 and 90.00 degrees. The inequivalent atoms are Ho at (0.0000, 0.2475, 0.0000), Ho at (0.0000, 0.2518, 0.3339), Zn at (0.0000, 0.5000, 0.5000) and Ga at (0.0000, 0.5000, 0.1670).

Its magnetization is 0.00 μB/f.u.



Version ii
Computed, not measured: an optimized crystal structure of Ho6ZnGa2 at the GGA-PBE level of DFT.

The space group is Immm (No. 71) and the conventional cell measures 9.5261, 9.6228 and 10.3032 Å, with angles of 90.00, 90.00 and 90.00 degrees. The inequivalent atoms are Ho at (0.0000, 0.2065, 0.1764), Ho at (0.1777, 0.2296, 0.5000), Ho at (0.1954, 0.5000, 0.2540), Zn at (0.0000, 0.5000, 0.0000), Zn at (0.0000, 0.5000, 0.5000), Ga at (0.0000, 0.0000, 0.3772) and Ga at (0.1479, 0.0000, 0.0000).

Its magnetization is 0.00 μB/f.u.



Name the least stable of them. version i.



Version i
Computed, not measured: an optimized crystal structure of Ho2ZnGa3 at the GGA-PBE level of DFT.

The space group is Fmmm (No. 69) and the conventional cell measures 7.2446, 8.7816 and 15.1256 Å, with angles of 90.00, 90.00 and 90.00 degrees. The inequivalent atoms are Ho at (0.2492, 0.0000, 0.0000), Ho at (0.2500, 0.2500, 0.2500), Zn at (0.0000, 0.0000, 0.3333), Ga at (0.0000, 0.0000, 0.1674) and Ga at (0.0000, 0.2486, 0.4160).

Its magnetization is 0.00 μB/f.u.



Version ii
Computed, not measured: an optimized crystal structure of Ho2ZnGa3 at the GGA-PBE level of DFT.

The space group is Pmm2 (No. 25) and the conventional cell measures 3.6014, 4.3839 and 7.6092 Å, with angles of 90.00, 90.00 and 90.00 degrees. The inequivalent atoms are Ho at (0.0000, 0.0000, 0.0000), Ho at (0.0000, 0.5000, 0.4946), Zn at (0.5000, 0.5000, 0.8284), Ga at (0.5000, 0.0000, 0.3327), Ga at (0.5000, 0.0000, 0.6695) and Ga at (0.5000, 0.5000, 0.1582).

Its magnetization is 0.00 μB/f.u.



Name the least stable of them. version ii.